# GGA+U PbW2O8, optimized geometry
data_PbW2O8
_cell_length_a 6.0510
_cell_length_b 6.0510
_cell_length_c 6.2744
_cell_angle_alpha 90.00
_cell_angle_beta 90.00
_cell_angle_gamma 120.00
_symmetry_space_group_name_H-M 'P -3 m 1'
_symmetry_Int_Tables_number 164
_symmetry_space_group_name_Hall '-P 3 2"'
loop_
_atom_site_label
_atom_site_fract_x
_atom_site_fract_y
_atom_site_fract_z
_atom_site_occupancy
Pb1 0.0000 0.0000 0.0000 1
W1 0.3333 0.6667 0.2877 1
O1 0.1675 0.3349 0.1966 1
O2 0.3333 0.6667 0.5675 1
# Calculated total energy, eV per atom: -6.755
# Magnetization, μB per formula unit: 0.00